{
  "formula": "SrFe2Sn",
  "functional": "PBE-GGA",
  "state": "relaxed",
  "crystal_system": "tetragonal",
  "delta_e_f_ev_per_atom": 0.377,
  "sg": "I4_1/amd",
  "lattice_angstrom": [[-2.3388, 2.3388, 9.2358], [2.3388, -2.3388, 9.2358], [2.3388, 2.3388, -9.2358]],
  "species": ["Sr", "Sr", "Fe", "Fe", "Fe", "Fe", "Sn", "Sn"],
  "frac_coords": [[0.3750, 0.6250, 0.7500], [0.6250, 0.3750, 0.2500], [0.0000, 0.0000, 0.0000], [0.0000, 0.0000, 0.5000], [0.0000, 0.5000, 0.0000], [0.5000, 0.0000, 0.5000], [0.1250, 0.8750, 0.2500], [0.8750, 0.1250, 0.7500]]
}